A plane-wave DFT calculation with PBE-GGA was carried out for a relaxed structure of Pa6Ge5Sb.

Results
N(E_F) = 1.4617 states/eV per atom
Spin magnetization = 0.000 Bohr magnetons per cell
E_form (uncorrected) = -42 kJ per mole of atoms
Electronic total energy = -7.45 eV per atom

Cell: 7.2296 7.2288 7.2226 Å, 59.97 80.40 70.53°
Closest atoms and distances in Å follow each position.
Fractional coordinates of all 12 atoms:
Sb1 0.0000 0.0000 0.0000  6 Pa 3.04-3.06
Ge1 0.5000 0.1599 0.6802  6 Pa 2.90-2.96
Ge2 0.0000 0.3316 0.3368  6 Pa 2.94-2.95
Ge3 0.5000 0.5000 0.0000  6 Pa 2.86-2.95
Ge4 0.0000 0.6684 0.6632  6 Pa 2.94-2.95
Ge5 0.5000 0.8401 0.3198  6 Pa 2.90-2.96
Pa1 0.7400 0.0871 0.3453  5 Ge 2.90-2.96, 1 Sb 3.06
Pa2 0.2600 0.5677 0.3453  5 Ge 2.90-2.96, 1 Sb 3.06
Pa3 0.2527 0.2621 0.0000  5 Ge 2.86-2.94, 1 Sb 3.04
Pa4 0.7473 0.7379 0.0000  5 Ge 2.86-2.94, 1 Sb 3.04
Pa5 0.7400 0.4323 0.6547  5 Ge 2.90-2.96, 1 Sb 3.06
Pa6 0.2600 0.9129 0.6547  5 Ge 2.90-2.96, 1 Sb 3.06

***

A plane-wave DFT calculation with PBE-GGA was carried out for a relaxed structure of LuAlNiRu.

Results
DFT formation energy = -542 meV/atom
N(E_F) = 0.3447 states/eV per atom
Spin magnetization = 0.000 Bohr magnetons per cell
Electronic total energy = -6.37 eV per atom

Cell: 4.4448 4.4448 4.4448 Å, 60.00 60.00 60.00°
Closest atoms and distances in Å follow each position.
Fractional coordinates of all 4 atoms:
Ru1 0.2500 0.2500 0.2500  4 Al 2.72, 4 Lu 2.72
Lu1 0.0000 0.0000 0.0000  4 Ni 2.72, 4 Ru 2.72
Al1 0.5000 0.5000 0.5000  4 Ni 2.72, 4 Ru 2.72
Ni1 0.7500 0.7500 0.7500  4 Al 2.72, 4 Lu 2.72

***

A plane-wave DFT calculation with PBE-GGA was carried out for a relaxed structure of Pm12Nd2Ho5.

Results
DFT formation energy = 195 meV/atom
N(E_F) = 1.1380 states/eV per atom
Spin magnetization = 0.000 Bohr magnetons per cell
Polymorph energy (0 for the lowest one) = 68 meV/atom
Electronic total energy = -4.51 eV per atom

Cell: 9.2935 11.7639 8.9427 Å, 129.09 90.00 113.27°
Closest atoms and distances in Å follow each position.
Fractional coordinates of all 19 atoms:
Pm1 0.0784 0.1569 0.2430  3 Pm 3.19-3.40, 2 Nd 3.41
Pm2 0.0693 0.7586 0.0567  1 Nd 3.23, 2 Ho 3.38-3.39, 2 Pm 3.44-3.53
Pm3 0.6893 0.7586 0.0567  1 Nd 3.23, 2 Ho 3.38-3.39, 2 Pm 3.44-3.53
Pm4 0.0848 0.6613 0.3848  3 Pm 3.32-3.44, 4 Ho 3.48-3.66
Pm5 0.5764 0.6613 0.3848  3 Pm 3.32-3.44, 4 Ho 3.48-3.66
Pm6 0.4837 0.9674 0.6387  3 Pm 3.01-3.32
Pm7 0.5163 0.0326 0.3613  3 Pm 3.01-3.32
Pm8 0.9152 0.3387 0.6152  3 Pm 3.32-3.44, 4 Ho 3.48-3.66
Pm9 0.4236 0.3387 0.6152  3 Pm 3.32-3.44, 4 Ho 3.48-3.66
Pm10 0.9307 0.2414 0.9433  1 Nd 3.23, 2 Ho 3.38-3.39, 2 Pm 3.44-3.53
Pm11 0.3107 0.2414 0.9433  1 Nd 3.23, 2 Ho 3.38-3.39, 2 Pm 3.44-3.53
Pm12 0.9216 0.8431 0.7570  3 Pm 3.19-3.40, 2 Nd 3.41
Nd1 0.6753 0.0000 0.0000  6 Pm 3.23-3.41, 1 Nd 3.26, 2 Ho 3.45
Nd2 0.3247 0.0000 0.0000  6 Pm 3.23-3.41, 1 Nd 3.26, 2 Ho 3.45
Ho1 0.3065 0.6130 0.6610  1 Ho 3.45, 2 Nd 3.45, 5 Pm 3.59-3.66
Ho2 0.2841 0.5682 0.0078  9 Pm 3.39-3.66, 1 Ho 3.45
Ho3 0.0000 0.0000 0.5000  6 Pm 3.38-3.67
Ho4 0.7159 0.4318 0.9922  9 Pm 3.39-3.66, 1 Ho 3.45
Ho5 0.6935 0.3870 0.3390  1 Ho 3.45, 2 Nd 3.45, 5 Pm 3.59-3.66

***

A plane-wave DFT calculation with PBE-GGA was carried out for a relaxed structure of SmPuCu2O8.

Results
N(E_F) = 0.7580 states/eV per atom
Spin magnetization = 1.264 Bohr magnetons per cell
E_form (uncorrected) = -147 kJ per mole of atoms
Electronic total energy = -7.10 eV per atom

Cell: 5.9177 5.9177 5.9177 Å, 109.58 109.58 109.25°
Closest atoms and distances in Å follow each position.
Fractional coordinates of all 12 atoms:
Sm1 0.0000 0.0000 0.0000  8 O 2.28-2.51
Pu1 0.2500 0.7500 0.5000  4 O 2.02
Cu1 0.7500 0.2500 0.5000  4 O 1.82
Cu2 0.5000 0.5000 0.0000  4 O 1.96
O1 0.3759 0.0450 0.3310  1 Cu 1.82
O2 0.3021 0.5102 0.2081  1 Cu 1.96, 1 Pu 2.02
O3 0.3021 0.0940 0.7919  1 Cu 1.96, 1 Pu 2.02
O4 0.7140 0.0450 0.6690  1 Cu 1.82
O5 0.9060 0.6979 0.2081  1 Cu 1.96, 1 Pu 2.02
O6 0.9550 0.2860 0.3310  1 Cu 1.82
O7 0.9550 0.6241 0.6690  1 Cu 1.82
O8 0.4898 0.6979 0.7919  1 Cu 1.96, 1 Pu 2.02

***

A plane-wave DFT calculation with PBE-GGA was carried out for a relaxed structure of La3InO.

Results
N(E_F) = 0.8716 states/eV per atom
Spin magnetization = 0.000 Bohr magnetons per cell
E_form (uncorrected) = -128 kJ per mole of atoms
Electronic total energy = -5.83 eV per atom

Cell: 7.1084 7.1083 6.9250 Å, 97.18 97.17 121.67°
Closest atoms and distances in Å follow each position.
Fractional coordinates of all 10 atoms:
La1 0.4481 0.3372 0.1541  2 O 2.75-2.76
La2 0.9485 0.8376 0.6546  2 O 2.75-2.76
La3 0.4885 0.7970 0.9047  1 O 2.35
La4 0.5156 0.2704 0.6542  2 O 2.38
La5 0.0152 0.7701 0.1546  2 O 2.38
La6 0.9886 0.2970 0.4047  1 O 2.35
O1 0.1775 0.1077 0.4047  3 La 2.35-2.38
O2 0.6775 0.6077 0.9047  3 La 2.35-2.38
In1 0.4846 0.8006 0.4047  8 La 3.39-3.47
In2 0.9844 0.3008 0.9048  8 La 3.39-3.47

***

A plane-wave DFT calculation with PBE-GGA was carried out for a relaxed structure of LiPm4S5.

Results
N(E_F) = 0.3871 states/eV per atom
Spin magnetization = 0.000 Bohr magnetons per cell
Polymorph energy (0 for the lowest one) = 0 meV/atom
E_form (uncorrected) = -189 kJ per mole of atoms
Electronic total energy = -6.11 eV per atom

Cell: 5.6536 6.9297 6.9297 Å, 80.42 65.93 65.93°
Closest atoms and distances in Å follow each position.
Fractional coordinates of all 10 atoms:
Li1 0.0068 0.0000 0.0000  6 S 2.74-2.87
Pm1 0.3996 0.4001 0.8019  6 S 2.82-2.93
Pm2 0.7997 0.8019 0.5999  6 S 2.82-2.93
Pm3 0.2015 0.1981 0.4001  6 S 2.82-2.93
Pm4 0.6015 0.5999 0.1981  6 S 2.82-2.93
S1 0.9051 0.3868 0.8042  1 Li 2.74, 5 Pm 2.82-2.93
S2 0.2919 0.8042 0.6132  1 Li 2.74, 5 Pm 2.82-2.93
S3 0.7093 0.1958 0.3868  1 Li 2.74, 5 Pm 2.82-2.93
S4 0.0961 0.6132 0.1958  1 Li 2.74, 5 Pm 2.82-2.93
S5 0.4988 0.0000 0.0000  2 Li 2.78-2.87, 4 Pm 2.82